Below is a relaxed structure of Ni4P5, with properties calculated at the PBE level.

a b c (Å): 7.0724 7.0724 5.1570
angles (deg): 90.00 90.00 120.00
With the nearest neighbours (Å) after each atom.
Space group P6_3/mcm (No. 193)
Symmetry-distinct sites (fractional):
1 Ni 0.0000 0.0000 0.0000 (multiplicity 2)  6 P 2.45, 2 Ni 2.58
2 Ni 0.0000 0.3542 0.2500 (multiplicity 6)  3 P 2.32-2.49
3 P 0.0000 0.2941 0.7500 (multiplicity 6)  5 Ni 2.32-2.49
4 P 0.3333 0.6667 0.0000 (multiplicity 4)  8 P 2.58-2.82, 6 Ni 2.63

For the relative energy among the computed polymorphs, the calculation gives 0 kJ/mol of formula units. The calculation puts the formation energy from the elements at 0.108 eV per atom. As for the energy: -5.47 eV per atom.



Below is a relaxed structure of NaSr2CaCl, with properties calculated at the PBE level.

a b c (Å): 6.2509 6.2509 5.4516
angles (deg): 90.00 90.00 90.00
With the nearest neighbours (Å) after each atom.
Space group P4/mmm (No. 123)
Symmetry-distinct sites (fractional):
1 Na 0.0000 0.0000 0.0000 (multiplicity 1)  8 Sr 4.15, 4 Ca 4.42
2 Sr 0.0000 0.5000 0.5000 (multiplicity 2)  2 Cl 3.13
3 Ca 0.5000 0.5000 0.0000 (multiplicity 1)  2 Cl 2.73
4 Cl 0.5000 0.5000 0.5000 (multiplicity 1)  2 Ca 2.73

The calculation puts the energy relative to the elements, uncorrected at -508 meV per atom. For the relative energy among the computed polymorphs, the calculation gives 31 kJ/mol of formula units. As for the energy: -2.21 eV per atom.



Below is a relaxed structure of CaTb2ThSe4, with properties calculated at the PBE level.

a b c (Å): 7.1146 4.1003 7.3009
angles (deg): 90.00 108.90 90.00
With the nearest neighbours (Å) after each atom.
Space group P2/m (No. 10)
Symmetry-distinct sites (fractional):
1 Ca 0.0000 0.0000 0.0000 (multiplicity 1)  6 Se 2.93-2.94
2 Tb 0.5000 0.0000 0.5000 (multiplicity 1)  6 Se 2.93-2.94
3 Tb 0.5000 0.5000 0.0000 (multiplicity 1)  6 Se 2.88-2.89
4 Th 0.0000 0.5000 0.5000 (multiplicity 1)  6 Se 2.97-2.98
5 Se 0.2541 0.5000 0.2473 (multiplicity 2)  3 Tb 2.89-2.93, 2 Ca 2.94, 1 Th 2.97
6 Se 0.2576 0.0000 0.7583 (multiplicity 2)  3 Tb 2.88-2.94, 1 Ca 2.93, 2 Th 2.98

The calculation puts the energy relative to the elements, uncorrected at -1741 meV per atom. As for the energy: -5.82 eV per atom.



Below is a relaxed structure of Cu2BiC, with properties calculated at the PBE level.

a b c (Å): 4.6419 4.6419 12.3046
angles (deg): 90.00 90.00 90.00
With the nearest neighbours (Å) after each atom.
Space group I-42d (No. 122)
Symmetry-distinct sites (fractional):
1 Cu 0.0598 0.2500 0.1250 (multiplicity 8)  2 C 1.95
2 Bi 0.0000 0.0000 0.5000 (multiplicity 4)  4 Cu 2.81
3 C 0.0000 0.0000 0.0000 (multiplicity 4)  4 Cu 1.95

For the relative energy among the computed polymorphs, the calculation gives 0 kJ/mol of formula units. The calculation puts the formation energy from the elements at 0.764 eV per atom. As for the energy: -4.56 eV per atom.